Entry from the Alexandria database: a relaxed structure of Ni2IrW (PBE).

abc: 2.7243 3.6830 5.2572
angles: 90.00 90.00 90.00
Sites, in units of the cell vectors:
1 Ni 0.5000 0.5000 0.2368
2 W 0.0000 0.0000 0.4901
3 Ir 0.5000 0.5000 0.7537
4 Ni 0.0000 0.0000 0.0194

- total magnetic moment (μB/f.u.) = 0.00
- formation energy (eV/atom) = -0.12
- space-group type = Pmm2, No. 25
- V (Å³/f.u.) = 52.7


Entry from the Alexandria database: a relaxed structure of NiIrW (PBE).

abc: 5.8427 5.8430 2.7521
angles: 76.37 76.39 27.24
Sites, in units of the cell vectors:
1 W 0.6704 0.6704 0.3296
2 Ni 0.3318 0.3318 0.6682
3 Ir 0.9978 0.9978 0.0022

- total magnetic moment (μB/f.u.) = 0.00
- formation energy (eV/atom) = -0.08
- space-group type = I4mm, No. 107
- energy above the most stable polymorph in this dataset (meV/atom) = 140
- V (Å³/f.u.) = 41.7


Entry from the Alexandria database: a relaxed structure of Ni2IrW (PBE).

abc: 4.5434 4.5434 4.6236
angles: 79.77 79.77 34.66
Sites, in units of the cell vectors:
1 Ni 0.2472 0.2472 0.7441
2 W 0.0000 0.0000 0.5000
3 Ni 0.7528 0.7528 0.2559
4 Ir 0.5000 0.5000 0.0000

- total magnetic moment (μB/f.u.) = 0.00
- formation energy (eV/atom) = -0.02
- space-group type = C2/m, No. 12
- V (Å³/f.u.) = 53.3


Entry from the Alexandria database: a relaxed structure of Ni4Ir2W (PBE).

abc: 8.8391 4.8039 4.8805
angles: 119.48 90.00 90.00
Sites, in units of the cell vectors:
1 Ni 0.2500 0.9882 0.5000
2 Ir 0.5000 0.8191 0.6382
3 Ni 0.2770 0.9759 0.0000
4 W 0.0000 0.0000 0.0000
5 Ni 0.7230 0.0241 0.0000
6 Ni 0.2500 0.4882 0.5000
7 Ir 0.5000 0.1809 0.3618
8 Ni 0.7500 0.0118 0.5000
9 W 0.5000 0.5000 0.0000
10 Ni 0.7500 0.5118 0.5000
11 Ni 0.7770 0.5241 0.0000
12 Ir 0.0000 0.3191 0.6382
13 Ni 0.2230 0.4759 0.0000
14 Ir 0.0000 0.6809 0.3618

- total magnetic moment (μB/f.u.) = 1.21
- formation energy (eV/atom) = 0.13
- space-group type = Cmce, No. 64
- V (Å³/f.u.) = 90.2


Entry from the Alexandria database: a relaxed structure of Ni6Ir2W (PBE).

abc: 6.1777 6.8003 6.6958
angles: 54.62 86.10 77.23
Sites, in units of the cell vectors:
1 W 0.1472 0.2407 0.8980
2 Ni 0.7054 0.0165 0.4509
3 Ir 0.4750 0.9107 0.2364
4 Ni 0.2606 0.7934 0.0086
5 Ni 0.4049 0.5444 0.6610
6 Ni 0.5951 0.4556 0.3390
7 Ir 0.1874 0.4262 0.4262
8 Ni 0.9612 0.3143 0.2116
9 Ni 0.0388 0.6857 0.7884
10 Ni 0.7394 0.2066 0.9914
11 Ni 0.2946 0.9835 0.5491
12 Ni 0.9256 0.1290 0.6739
13 Ni 0.3690 0.3533 0.1140
14 Ir 0.8126 0.5738 0.5738
15 Ir 0.5250 0.0893 0.7636
16 W 0.8528 0.7593 0.1020
17 Ni 0.6310 0.6467 0.8860
18 Ni 0.0744 0.8710 0.3261

- total magnetic moment (μB/f.u.) = 0.00
- formation energy (eV/atom) = -0.03
- space-group type = P-1, No. 2
- V (Å³/f.u.) = 111.5


Entry from the Alexandria database: a relaxed structure of Ni4IrW (PBE).

abc: 4.6699 4.6699 4.6699
angles: 60.00 60.00 60.00
Sites, in units of the cell vectors:
1 Ni 0.6250 0.6250 0.1250
2 Ni 0.6250 0.6250 0.6250
3 W 0.2500 0.2500 0.2500
4 Ni 0.1250 0.6250 0.6250
5 Ir 0.0000 0.0000 0.0000
6 Ni 0.6250 0.1250 0.6250

- total magnetic moment (μB/f.u.) = 0.08
- formation energy (eV/atom) = -0.09
- space-group type = F-43m, No. 216
- energy above the most stable polymorph in this dataset (meV/atom) = 0
- V (Å³/f.u.) = 72.0


Entry from the Alexandria database: a relaxed structure of NiIrW4 (PBE).

abc: 5.1742 5.1742 5.1742
angles: 60.00 60.00 60.00
Sites, in units of the cell vectors:
1 W 0.6263 0.6263 0.6263
2 W 0.6263 0.1212 0.6263
3 W 0.1212 0.6263 0.6263
4 W 0.6263 0.6263 0.1212
5 Ni 0.0000 0.0000 0.0000
6 Ir 0.2500 0.2500 0.2500

- total magnetic moment (μB/f.u.) = 0.00
- formation energy (eV/atom) = 0.56
- space-group type = F-43m, No. 216
- V (Å³/f.u.) = 98.0


Entry from the Alexandria database: a relaxed structure of Ni3Ir3W (PBE).

abc: 7.2935 7.2935 7.2935
angles: 90.00 90.00 90.00
Sites, in units of the cell vectors:
1 Ni 0.9013 0.9013 0.9013
2 Ir 0.8820 0.0758 0.2021
3 Ir 0.3820 0.4242 0.7979
4 W 0.4133 0.4133 0.4133
5 Ir 0.4242 0.7979 0.3820
6 Ir 0.9242 0.7021 0.6180
7 Ni 0.7181 0.2819 0.7819
8 Ir 0.7021 0.6180 0.9242
9 Ir 0.2021 0.8820 0.0758
10 Ni 0.2819 0.7819 0.7181
11 Ir 0.7979 0.3820 0.4242
12 Ir 0.1180 0.5758 0.2979
13 Ni 0.6017 0.6017 0.6017
14 Ni 0.2181 0.2181 0.2181
15 Ir 0.5758 0.2979 0.1180
16 Ni 0.5987 0.0987 0.4013
17 Ni 0.8983 0.3983 0.1017
18 W 0.9133 0.0867 0.5867
19 Ir 0.6180 0.9242 0.7021
20 Ir 0.2979 0.1180 0.5758
21 Ni 0.1017 0.8983 0.3983
22 Ir 0.0758 0.2021 0.8820
23 W 0.5867 0.9133 0.0867
24 Ni 0.3983 0.1017 0.8983
25 W 0.0867 0.5867 0.9133
26 Ni 0.4013 0.5987 0.0987
27 Ni 0.7819 0.7181 0.2819
28 Ni 0.0987 0.4013 0.5987

- total magnetic moment (μB/f.u.) = 0.00
- formation energy (eV/atom) = 0.08
- space-group type = P2_13, No. 198
- V (Å³/f.u.) = 97.0


Look up the total magnetic moment of the fourth one. 1.21 μB/f.u.


What is the formula in the seventh record? NiIrW4


Among the records above, which one has the highest total magnetic moment? Ni4Ir2W


formation energy of number 2 (NiIrW)? -0.08 eV/atom